No. 1
Computed, not measured: a relaxed structure of SmTcBr at the PBE-GGA level of DFT.

POSCAR file:
```
SmTcBr
1.0
-0.710 -2.894 -2.820
2.156 -0.035 -3.490
8.291 -7.169 4.876
Sm Tc Br
2 2 2
Direct
0.992 0.992 0.685 Sm
0.008 0.008 0.315 Sm
0.666 0.666 0.517 Tc
0.334 0.334 0.483 Tc
0.682 0.682 0.157 Br
0.318 0.318 0.843 Br
```

Summary:
Energy relative to the elements, uncorrected: -87.2 kJ/mol of atoms
Symmetry: C2/m
DFT total energy: -19.5 eV/f.u.
ρ: 6.2 g/cm³

=====

No. 2
Computed, not measured: a relaxed structure of Sm5TcBr5 at the PBE-GGA level of DFT.

POSCAR file:
```
Sm5TcBr5
1.0
-0.492 -1.186 5.751
-6.110 0.616 -3.413
2.908 -8.365 -1.476
Sm Tc Br
5 1 5
Direct
0.829 0.658 0.132 Sm
0.856 0.712 0.715 Sm
0.500 0.000 0.000 Sm
0.144 0.288 0.285 Sm
0.171 0.342 0.868 Sm
0.000 0.000 0.000 Tc
0.675 0.351 0.363 Br
0.637 0.273 0.768 Br
0.000 0.000 0.500 Br
0.363 0.727 0.232 Br
0.325 0.649 0.637 Br
```

Summary:
Energy relative to the elements, uncorrected: -102.7 kJ/mol of atoms
Symmetry: C2/m
DFT total energy: -54.0 eV/f.u.
ρ: 6.5 g/cm³

=====

No. 3
Computed, not measured: a relaxed structure of Sm6ZnTc2Br3 at the PBE-GGA level of DFT.

POSCAR file:
```
Sm6ZnTc2Br3
1.0
-6.264 -2.556 -1.421
2.060 0.933 6.532
-1.625 8.081 -1.845
Sm Zn Tc Br
6 1 2 3
Direct
0.926 0.580 0.779 Sm
0.695 0.695 0.186 Sm
0.074 0.420 0.221 Sm
0.580 0.926 0.779 Sm
0.305 0.305 0.814 Sm
0.420 0.074 0.221 Sm
0.000 0.000 0.000 Zn
0.316 0.684 0.000 Tc
0.684 0.316 0.000 Tc
0.166 0.834 0.500 Br
0.834 0.166 0.500 Br
0.500 0.500 0.500 Br
```

Summary:
Energy relative to the elements, uncorrected: -56.6 kJ/mol of atoms
Symmetry: C2/m
DFT total energy: -62.4 eV/f.u.
ρ: 7.0 g/cm³

=====

No. 4
Computed, not measured: a relaxed structure of SmTeBr at the PBE-GGA level of DFT.

POSCAR file:
```
SmTeBr
1.0
-4.194 -1.247 -0.393
2.593 0.133 -3.544
1.927 -6.842 1.153
Te Br Sm
1 1 1
Direct
0.000 0.000 0.098 Te
0.333 0.667 0.570 Br
0.667 0.333 0.332 Sm
```

Summary:
Energy relative to the elements, uncorrected: -150.2 kJ/mol of atoms
Symmetry: P3m1
DFT total energy: -14.2 eV/f.u.
ρ: 4.9 g/cm³

=====

No. 5
Computed, not measured: a relaxed structure of Sm2TeBr at the PBE-GGA level of DFT.

POSCAR file:
```
Sm2TeBr
1.0
-1.573 2.414 -2.481
-2.367 -4.055 -2.446
-4.199 0.533 3.180
Te Br Sm
1 1 2
Direct
0.500 0.500 0.500 Te
0.500 0.000 0.000 Br
0.000 0.000 0.500 Sm
0.000 0.500 0.000 Sm
```

Summary:
Energy relative to the elements, uncorrected: -110.4 kJ/mol of atoms
Symmetry: P4/mmm
DFT total energy: -18.8 eV/f.u.
Excess energy over the best structure of this formula in the dataset: 0.169 eV/f.u.
ρ: 7.9 g/cm³

=====

No. 6
Computed, not measured: a relaxed structure of Sm2TeBr at the PBE-GGA level of DFT.

POSCAR file:
```
Sm2TeBr
1.0
4.003 0.000 0.000
-2.002 3.467 0.000
0.000 0.000 10.026
Sm Te Br
2 1 1
Direct
0.667 0.333 0.836 Sm
0.000 0.000 0.337 Sm
0.667 0.333 0.537 Te
0.000 0.000 0.041 Br
```

Summary:
Energy relative to the elements, uncorrected: -86.9 kJ/mol of atoms
Symmetry: P3m1
DFT total energy: -17.9 eV/f.u.
Excess energy over the best structure of this formula in the dataset: 1.142 eV/f.u.
ρ: 6.1 g/cm³

=====

No. 7
Computed, not measured: a relaxed structure of SmTeBr at the PBE-GGA level of DFT.

POSCAR file:
```
SmTeBr
1.0
-3.392 -0.846 3.628
0.543 -7.576 1.803
3.486 1.676 7.161
Br Te Sm
2 2 2
Direct
0.641 0.750 0.942 Br
0.359 0.250 0.058 Br
0.103 0.220 0.601 Te
0.897 0.780 0.399 Te
0.619 0.042 0.725 Sm
0.381 0.958 0.275 Sm
```

Summary:
Energy relative to the elements, uncorrected: -144.9 kJ/mol of atoms
Symmetry: P-1
DFT total energy: -14.0 eV/f.u.
ρ: 4.1 g/cm³

=====

No. 8
Computed, not measured: a relaxed structure of Sm2Te2Br at the PBE-GGA level of DFT.

POSCAR file:
```
Sm2Te2Br
1.0
-3.038 -1.175 -5.290
-4.370 -0.151 6.191
1.180 8.234 -2.507
Sm Te Br
4 4 2
Direct
0.162 0.324 0.581 Sm
0.838 0.676 0.419 Sm
0.498 0.997 0.258 Sm
0.502 0.003 0.742 Sm
0.680 0.360 0.607 Te
0.320 0.640 0.393 Te
0.009 0.017 0.771 Te
0.991 0.983 0.229 Te
0.345 0.691 0.905 Br
0.655 0.309 0.095 Br
```

Summary:
Energy relative to the elements, uncorrected: -146.1 kJ/mol of atoms
Symmetry: C2/m
DFT total energy: -25.0 eV/f.u.
ρ: 6.1 g/cm³